[1]
Entry from Alexandria via LeMat-Bulk: SiC at its PBEsol-relaxed geometry (meta-GGA SCAN).

Computed properties:
Raw total energy (eV/atom): -10.354
DOS(E_F) (states/eV per cell): 0.00
Volume (Å³ per atom): 10.4
Raw formation energy (eV/atom): -0.297
Offset from the most stable computed form (meV per atom): 0.4
Magnetization (μB/f.u.): 0.00

Unit cell a=3.081 b=3.081 c=20.150 alpha=90.00 beta=90.00 gamma=120.00
Fractional coordinates of all 16 atoms:
Si: 0.000 0.000 0.000
Si: 0.000 0.000 0.500
Si: 0.333 0.667 0.125
Si: 0.333 0.667 0.375
Si: 0.333 0.667 0.750
Si: 0.667 0.333 0.250
Si: 0.667 0.333 0.625
Si: 0.667 0.333 0.875
C: 0.000 0.000 0.406
C: 0.000 0.000 0.906
C: 0.333 0.667 0.031
C: 0.333 0.667 0.281
C: 0.333 0.667 0.656
C: 0.667 0.333 0.156
C: 0.667 0.333 0.531
C: 0.667 0.333 0.781



[2]
Entry from Alexandria via LeMat-Bulk: SiC at its PBEsol-relaxed geometry (meta-GGA SCAN).

Computed properties:
Raw total energy (eV/atom): -10.355
DOS(E_F) (states/eV per cell): 0.00
Volume (Å³ per atom): 10.4
Raw formation energy (eV/atom): -0.297
Offset from the most stable computed form (meV per atom): 0.0
Magnetization (μB/f.u.): 0.00

Unit cell a=73.084 b=73.084 c=73.084 alpha=2.42 beta=2.42 gamma=2.42
Fractional coordinates of all 58 atoms:
Si: 0.000 0.000 0.000
Si: 0.023 0.023 0.023
Si: 0.046 0.046 0.046
Si: 0.092 0.092 0.092
Si: 0.115 0.115 0.115
Si: 0.161 0.161 0.161
Si: 0.184 0.184 0.184
Si: 0.230 0.230 0.230
Si: 0.253 0.253 0.253
Si: 0.299 0.299 0.299
Si: 0.322 0.322 0.322
Si: 0.368 0.368 0.368
Si: 0.402 0.402 0.402
Si: 0.437 0.437 0.437
Si: 0.471 0.471 0.471
Si: 0.506 0.506 0.506
Si: 0.540 0.540 0.540
Si: 0.575 0.575 0.575
Si: 0.609 0.609 0.609
Si: 0.644 0.644 0.644
Si: 0.678 0.678 0.678
Si: 0.724 0.724 0.724
Si: 0.747 0.747 0.747
Si: 0.793 0.793 0.793
Si: 0.816 0.816 0.816
Si: 0.862 0.862 0.862
Si: 0.885 0.885 0.885
Si: 0.931 0.931 0.931
Si: 0.954 0.954 0.954
C: 0.014 0.014 0.014
C: 0.037 0.037 0.037
C: 0.083 0.083 0.083
C: 0.106 0.106 0.106
C: 0.152 0.152 0.152
C: 0.175 0.175 0.175
C: 0.221 0.221 0.221
C: 0.244 0.244 0.244
C: 0.290 0.290 0.290
C: 0.313 0.313 0.313
C: 0.359 0.359 0.359
C: 0.394 0.394 0.394
C: 0.428 0.428 0.428
C: 0.463 0.463 0.463
C: 0.497 0.497 0.497
C: 0.532 0.532 0.532
C: 0.566 0.566 0.566
C: 0.601 0.601 0.601
C: 0.635 0.635 0.635
C: 0.670 0.670 0.670
C: 0.716 0.716 0.716
C: 0.739 0.739 0.739
C: 0.784 0.784 0.784
C: 0.807 0.807 0.807
C: 0.853 0.853 0.853
C: 0.876 0.876 0.876
C: 0.922 0.922 0.922
C: 0.945 0.945 0.945
C: 0.991 0.991 0.991



[3]
Entry from Alexandria via LeMat-Bulk: Si2C at its PBEsol-relaxed geometry (meta-GGA SCAN).

Computed properties:
Raw total energy (eV/atom): -9.339
DOS(E_F) (states/eV per cell): 1.61
Volume (Å³ per atom): 10.6
Raw formation energy (eV/atom): 0.705
Offset from the most stable computed form (meV per atom): 259.4
Magnetization (μB/f.u.): 0.00

Unit cell a=2.896 b=2.896 c=13.108 alpha=90.00 beta=90.00 gamma=120.00
Fractional coordinates of all 9 atoms:
Si: 0.000 0.000 0.000
Si: 0.000 0.000 0.184
Si: 0.333 0.667 0.667
Si: 0.333 0.667 0.850
Si: 0.667 0.333 0.333
Si: 0.667 0.333 0.517
C: 0.000 0.000 0.751
C: 0.333 0.667 0.418
C: 0.667 0.333 0.084



[4]
Entry from Alexandria via LeMat-Bulk: SiC at its PBEsol-relaxed geometry (meta-GGA SCAN).

Computed properties:
Raw total energy (eV/atom): -10.354
DOS(E_F) (states/eV per cell): 0.00
Volume (Å³ per atom): 10.4
Raw formation energy (eV/atom): -0.296
Offset from the most stable computed form (meV per atom): 1.0
Magnetization (μB/f.u.): 0.00

Unit cell a=4.359 b=4.359 c=4.359 alpha=90.00 beta=90.00 gamma=90.00
Fractional coordinates of all 8 atoms:
Si: 0.000 0.000 0.000
Si: 0.000 0.500 0.500
Si: 0.500 0.000 0.500
Si: 0.500 0.500 0.000
C: 0.250 0.250 0.750
C: 0.250 0.750 0.250
C: 0.750 0.250 0.250
C: 0.750 0.750 0.750